(1)
Density functional theory data (PBE) for Cs4Nd3HoS8 after structural relaxation.

Summary:
**Formation energy from raw total energies**: -1.81 eV per atom
**Symmetry**: R-3m (166)

Cell: 9.442 9.442 9.442 Å, 52.98 52.98 52.98°
Positions (direct):
Cs1 0.000 0.000 0.000
Cs2 0.000 0.500 0.500
Cs3 0.500 0.000 0.500
Cs4 0.500 0.500 0.000
Nd1 0.000 0.000 0.500
Nd2 0.000 0.500 0.000
Nd3 0.500 0.000 0.000
Ho1 0.500 0.500 0.500
S1 0.229 0.229 0.229
S2 0.237 0.724 0.724
S3 0.276 0.276 0.763
S4 0.276 0.763 0.276
S5 0.724 0.237 0.724
S6 0.724 0.724 0.237
S7 0.763 0.276 0.276
S8 0.771 0.771 0.771

(2)
Density functional theory data (PBE) for Sr3Sb after structural relaxation.

Summary:
**Energy relative to the lowest polymorph listed for this composition**: 0.30 eV/f.u.
**Formation energy from raw total energies**: -0.51 eV per atom
**Symmetry**: Immm (71)

Cell: 4.302 5.596 14.776 Å, 90.00 90.00 90.00°
Positions (direct):
Sr1 0.000 0.000 0.000
Sr2 0.000 0.500 0.177
Sr3 0.000 0.500 0.823
Sr4 0.500 0.000 0.323
Sr5 0.500 0.000 0.677
Sr6 0.500 0.500 0.500
Sb1 0.000 0.000 0.500
Sb2 0.500 0.500 0.000

(3)
Density functional theory data (PBE) for ReRh after structural relaxation.

Summary:
**Energy relative to the lowest polymorph listed for this composition**: 1.50 eV/f.u.
**Symmetry**: P4/m (83)
**ΔE_f**: 110.6 kJ/mol of formula units

Cell: 10.035 10.035 2.740 Å, 90.00 90.00 90.00°
Positions (direct):
Re1 0.027 0.618 0.000
Re2 0.037 0.173 0.500
Re3 0.173 0.963 0.500
Re4 0.382 0.027 0.000
Re5 0.618 0.973 0.000
Re6 0.827 0.037 0.500
Re7 0.963 0.827 0.500
Re8 0.973 0.382 0.000
Rh1 0.227 0.458 0.000
Rh2 0.233 0.711 0.500
Rh3 0.289 0.233 0.500
Rh4 0.458 0.773 0.000
Rh5 0.542 0.227 0.000
Rh6 0.711 0.767 0.500
Rh7 0.767 0.289 0.500
Rh8 0.773 0.542 0.000

(4)
Density functional theory data (PBE) for DyY5Er5 after structural relaxation.

Summary:
**Energy relative to the lowest polymorph listed for this composition**: 0.00 eV/f.u.
**Symmetry**: P-1 (2)
**ΔE_f**: 162.7 kJ/mol of formula units

Cell: 6.831 6.831 8.525 Å, 75.16 75.23 70.39°
Positions (direct):
Dy1 0.000 0.000 0.000
Y1 0.000 0.500 0.000
Y2 0.147 0.645 0.363
Y3 0.317 0.811 0.636
Y4 0.683 0.189 0.364
Y5 0.853 0.355 0.637
Er1 0.226 0.148 0.276
Er2 0.352 0.270 0.727
Er3 0.500 0.500 0.000
Er4 0.648 0.730 0.273
Er5 0.774 0.852 0.724

(5)
Density functional theory data (PBE) for La2IrRu after structural relaxation.

Summary:
**Symmetry**: Immm (71)
**ΔE_f**: 221.4 kJ/mol of formula units

Cell: 3.093 5.343 10.485 Å, 90.00 90.00 90.00°
Positions (direct):
La1 0.000 0.000 0.243
La2 0.000 0.000 0.757
La3 0.500 0.500 0.257
La4 0.500 0.500 0.743
Ir1 0.000 0.000 0.500
Ir2 0.500 0.500 0.000
Ru1 0.000 0.000 0.000
Ru2 0.500 0.500 0.500

(6)
Density functional theory data (PBE) for BeGaW2 after structural relaxation.

Summary:
**Energy relative to the lowest polymorph listed for this composition**: 0.75 eV/f.u.
**Symmetry**: I-42d (122)
**ΔE_f**: 249.5 kJ/mol of formula units

Cell: 3.710 3.710 18.328 Å, 90.00 90.00 90.00°
Positions (direct):
Be1 0.000 0.000 0.000
Be2 0.000 0.500 0.250
Be3 0.500 0.000 0.750
Be4 0.500 0.500 0.500
Ga1 0.000 0.000 0.500
Ga2 0.000 0.500 0.750
Ga3 0.500 0.000 0.250
Ga4 0.500 0.500 0.000
W1 0.243 0.250 0.125
W2 0.250 0.743 0.375
W3 0.250 0.757 0.875
W4 0.257 0.250 0.625
W5 0.743 0.750 0.625
W6 0.750 0.243 0.875
W7 0.750 0.257 0.375
W8 0.757 0.750 0.125

(7)
Density functional theory data (PBE) for HfMgBi2 after structural relaxation.

Summary:
**Energy relative to the lowest polymorph listed for this composition**: 0.34 eV/f.u.
**Symmetry**: R-3m (166)
**ΔE_f**: 1.8 kJ/mol of formula units

Cell: 3.350 3.350 35.048 Å, 90.00 90.00 120.00°
Positions (direct):
Hf1 0.000 0.000 0.000
Hf2 0.333 0.667 0.667
Hf3 0.667 0.333 0.333
Mg1 0.000 0.000 0.500
Mg2 0.333 0.667 0.167
Mg3 0.667 0.333 0.833
Bi1 0.000 0.000 0.405
Bi2 0.000 0.000 0.595
Bi3 0.333 0.667 0.072
Bi4 0.333 0.667 0.262
Bi5 0.667 0.333 0.738
Bi6 0.667 0.333 0.928

(8)
Density functional theory data (PBE) for Ti2InHg after structural relaxation.

Summary:
**Symmetry**: Pmmm (47)
**ΔE_f**: -31.0 kJ/mol of formula units

Cell: 3.034 4.230 5.894 Å, 90.00 90.00 90.00°
Positions (direct):
Ti1 0.000 0.000 0.249
Ti2 0.000 0.000 0.751
In1 0.500 0.500 0.500
Hg1 0.500 0.500 0.000

no.,final energy (eV/f.u.),total magnetic moment (μB per cell),volume (Å³/f.u.)
1,-84.30,0.000,497
2,-11.21,1.295,178
3,-18.65,0.000,34
4,-58.05,0.000,356
5,-25.70,0.000,87
6,-30.07,0.000,63
7,-19.29,0.000,114
8,-19.15,0.086,76